HoPaAgRh: relaxed, PBE-GGA.

Structure (CIF):
```
data_HoPaAgRh
_symmetry_space_group_name_H-M 'P 1'
_symmetry_Int_Tables_number 1
_symmetry_space_group_name_Hall 'P 1'
_cell_length_a 4.9897
_cell_length_b 4.9897
_cell_length_c 4.9897
_cell_angle_alpha 60.00
_cell_angle_beta 60.00
_cell_angle_gamma 60.00
loop_
_atom_site_label
_atom_site_fract_x
_atom_site_fract_y
_atom_site_fract_z
Pa1 0.5000 0.5000 0.5000
Rh1 0.7500 0.7500 0.7500
Ho1 0.0000 0.0000 0.0000
Ag1 0.2500 0.2500 0.2500
```

## Properties
Calculated density = 11.469 g/cm3
Space-group type = F-43m
Energy of formation = -267 meV/atom
N(E_F) = 5.91 states/eV/f.u.